Record 1
{
  "formula": "YZnAsS",
  "functional": "PBE-GGA",
  "state": "optimized geometry",
  "lattice": [[2.1495, 1.2410, 11.1816], [-2.1495, 1.2410, 11.1816], [0.0000, -2.4821, 11.1816]],
  "species": ["Y", "Y", "Zn", "Zn", "As", "As", "S", "S"],
  "fractional_positions": [[0.1089, 0.1089, 0.1089], [0.8911, 0.8911, 0.8911], [0.3058, 0.3058, 0.3058], [0.6942, 0.6942, 0.6942], [0.3834, 0.3834, 0.3834], [0.6166, 0.6166, 0.6166], [0.1972, 0.1972, 0.1972], [0.8028, 0.8028, 0.8028]],
  "raw_formation_energy_ev_per_atom": -1.12,
  "total_energy_ev_per_atom": -5.253,
  "magnetic_moment_mub_per_fu": 0.0
}



Record 2
{
  "formula": "Ti2VPd9",
  "functional": "PBE-GGA",
  "state": "optimized geometry",
  "lattice": [[3.9190, 0.0000, 0.0000], [0.0000, 3.9190, 0.0000], [0.0000, 0.0000, 11.7747]],
  "species": ["Ti", "Ti", "V", "Pd", "Pd", "Pd", "Pd", "Pd", "Pd", "Pd", "Pd", "Pd"],
  "fractional_positions": [[0.0000, 0.0000, 0.1685], [0.0000, 0.0000, 0.8315], [0.0000, 0.0000, 0.5000], [0.0000, 0.5000, 0.0000], [0.0000, 0.5000, 0.3324], [0.0000, 0.5000, 0.6676], [0.5000, 0.0000, 0.0000], [0.5000, 0.0000, 0.3324], [0.5000, 0.0000, 0.6676], [0.5000, 0.5000, 0.1663], [0.5000, 0.5000, 0.5000], [0.5000, 0.5000, 0.8337]],
  "total_energy_ev_per_atom": -6.469,
  "magnetic_moment_mub_per_fu": 1.7
}



Record 3
{
  "formula": "LaAl2P",
  "functional": "PBE-GGA",
  "state": "optimized geometry",
  "lattice": [[-3.9141, 3.9141, 2.9571], [3.9141, -3.9141, 2.9571], [3.9141, 3.9141, -2.9571]],
  "species": ["La", "La", "Al", "Al", "Al", "Al", "P", "P"],
  "fractional_positions": [[0.0000, 0.0000, 0.0000], [0.7500, 0.2500, 0.5000], [0.1930, 0.6250, 0.0680], [0.3750, 0.4430, 0.5680], [0.5570, 0.1250, 0.9320], [0.8750, 0.8070, 0.4320], [0.2500, 0.7500, 0.5000], [0.5000, 0.5000, 0.0000]],
  "total_energy_ev_per_atom": -4.828,
  "magnetic_moment_mub_per_fu": 0.0
}



Record 4
{
  "formula": "TbPmAlNi",
  "functional": "PBE-GGA",
  "state": "optimized geometry",
  "lattice": [[0.0000, 3.5741, 3.5741], [3.5741, 0.0000, 3.5741], [3.5741, 3.5741, 0.0000]],
  "species": ["Tb", "Pm", "Al", "Ni"],
  "fractional_positions": [[0.0000, 0.0000, 0.0000], [0.5000, 0.5000, 0.5000], [0.7500, 0.7500, 0.7500], [0.2500, 0.2500, 0.2500]],
  "total_energy_ev_per_atom": -4.983,
  "magnetic_moment_mub_per_fu": 0.0
}



Record 5
{
  "formula": "LuThB8Rh8",
  "functional": "PBE-GGA",
  "state": "optimized geometry",
  "lattice": [[5.3496, 0.0000, 0.0000], [0.0000, 5.3496, 0.0000], [0.0000, 0.0000, 7.5231]],
  "species": ["Lu", "Th", "B", "B", "B", "B", "B", "B", "B", "B", "Rh", "Rh", "Rh", "Rh", "Rh", "Rh", "Rh", "Rh"],
  "fractional_positions": [[0.0000, 0.0000, 0.0000], [0.5000, 0.5000, 0.5000], [0.0000, 0.3333, 0.6500], [0.0000, 0.6667, 0.6500], [0.1686, 0.5000, 0.1477], [0.3333, 0.0000, 0.3500], [0.5000, 0.1686, 0.8523], [0.5000, 0.8314, 0.8523], [0.6667, 0.0000, 0.3500], [0.8314, 0.5000, 0.1477], [0.0000, 0.2488, 0.3498], [0.0000, 0.7512, 0.3498], [0.2488, 0.0000, 0.6502], [0.2493, 0.5000, 0.8574], [0.5000, 0.2493, 0.1426], [0.5000, 0.7507, 0.1426], [0.7512, 0.0000, 0.6502], [0.7507, 0.5000, 0.8574]],
  "total_energy_ev_per_atom": -7.479,
  "magnetic_moment_mub_per_fu": 0.0
}



Record 6
{
  "formula": "TiSbPI2",
  "functional": "PBE-GGA",
  "state": "optimized geometry",
  "lattice": [[5.2539, 0.0000, 0.0000], [0.0000, 5.2539, 0.0000], [0.0000, 0.0000, 5.4622]],
  "species": ["Ti", "Sb", "P", "I", "I"],
  "fractional_positions": [[0.0000, 0.0000, 0.0000], [0.5000, 0.5000, 0.0000], [0.5000, 0.5000, 0.5000], [0.0000, 0.5000, 0.5000], [0.5000, 0.0000, 0.5000]],
  "raw_formation_energy_ev_per_atom": 0.82,
  "total_energy_ev_per_atom": -3.290,
  "magnetic_moment_mub_per_fu": 0.1
}



Record 7
{
  "formula": "Tb6HoTh4",
  "functional": "PBE-GGA",
  "state": "optimized geometry",
  "lattice": [[-1.7176, 2.9277, 17.8783], [1.7176, -2.9277, 17.8783], [1.7176, 2.9277, -17.8783]],
  "species": ["Tb", "Tb", "Tb", "Tb", "Tb", "Tb", "Ho", "Th", "Th", "Th", "Th"],
  "fractional_positions": [[0.0954, 0.0954, 0.0000], [0.2674, 0.2674, 0.0000], [0.3688, 0.3688, 0.0000], [0.6312, 0.6312, 0.0000], [0.7326, 0.7326, 0.0000], [0.9046, 0.9046, 0.0000], [0.0000, 0.5000, 0.5000], [0.1821, 0.6821, 0.5000], [0.4564, 0.9564, 0.5000], [0.5436, 0.0436, 0.5000], [0.8179, 0.3179, 0.5000]],
  "total_energy_ev_per_atom": -5.476,
  "magnetic_moment_mub_per_fu": 0.0
}



Record 8
{
  "formula": "Cd4In7Ag",
  "functional": "PBE-GGA",
  "state": "optimized geometry",
  "lattice": [[3.3845, 0.0000, 0.0000], [-1.6922, 2.9310, 0.0000], [0.0000, 0.0000, 30.1566]],
  "species": ["Cd", "Cd", "Cd", "Cd", "In", "In", "In", "In", "In", "In", "In", "Ag"],
  "fractional_positions": [[0.3333, 0.6667, 0.1563], [0.3333, 0.6667, 0.4161], [0.6667, 0.3333, 0.5839], [0.6667, 0.3333, 0.8437], [0.0000, 0.0000, 0.2413], [0.0000, 0.0000, 0.5000], [0.0000, 0.0000, 0.7587], [0.3333, 0.6667, 0.6696], [0.3333, 0.6667, 0.9261], [0.6667, 0.3333, 0.0739], [0.6667, 0.3333, 0.3304], [0.0000, 0.0000, 0.0000]],
  "total_energy_ev_per_atom": -2.104,
  "magnetic_moment_mub_per_fu": 0.0
}



Record 9
{
  "formula": "Tc5Ni3",
  "functional": "PBE-GGA",
  "state": "optimized geometry",
  "lattice": [[2.3419, -6.7087, 0.0000], [2.3419, 6.7087, 0.0000], [-2.3139, 0.0000, 6.7327]],
  "species": ["Tc", "Tc", "Tc", "Tc", "Tc", "Tc", "Tc", "Tc", "Tc", "Tc", "Ni", "Ni", "Ni", "Ni", "Ni", "Ni"],
  "fractional_positions": [[0.0742, 0.7273, 0.8009], [0.2432, 0.4423, 0.6550], [0.2555, 0.2555, 0.0140], [0.2727, 0.9258, 0.1991], [0.4423, 0.2432, 0.6550], [0.5577, 0.7568, 0.3450], [0.7273, 0.0742, 0.8009], [0.7445, 0.7445, 0.9860], [0.7568, 0.5577, 0.3450], [0.9258, 0.2727, 0.1991], [0.1503, 0.1503, 0.3417], [0.2476, 0.7524, 0.5000], [0.3304, 0.6696, 0.0000], [0.6696, 0.3304, 0.0000], [0.7524, 0.2476, 0.5000], [0.8497, 0.8497, 0.6583]],
  "total_energy_ev_per_atom": -8.605,
  "magnetic_moment_mub_per_fu": 0.0
}



Record 10
{
  "formula": "LiCo2Hg",
  "functional": "PBE-GGA",
  "state": "optimized geometry",
  "lattice": [[3.2562, 0.0000, 0.0000], [0.0000, 3.8872, 0.0000], [0.0000, 0.0000, 4.3053]],
  "species": ["Li", "Co", "Co", "Hg"],
  "fractional_positions": [[0.0000, 0.0000, 0.0000], [0.0000, 0.5000, 0.5000], [0.5000, 0.0000, 0.5000], [0.5000, 0.5000, 0.0000]],
  "total_energy_ev_per_atom": -3.891,
  "magnetic_moment_mub_per_fu": 3.1
}



Record 11
{
  "formula": "La6Os2I3O",
  "functional": "PBE-GGA",
  "state": "optimized geometry",
  "lattice": [[3.5781, -6.1875, 0.0000], [3.5781, 6.1875, 0.0000], [-2.3781, 0.0000, 8.2019]],
  "species": ["La", "La", "La", "La", "La", "La", "Os", "Os", "I", "I", "I", "O"],
  "fractional_positions": [[0.0603, 0.3831, 0.1800], [0.2628, 0.2628, 0.8181], [0.3831, 0.0603, 0.1800], [0.6169, 0.9397, 0.8200], [0.7372, 0.7372, 0.1819], [0.9397, 0.6169, 0.8200], [0.3337, 0.6663, 0.0000], [0.6663, 0.3337, 0.0000], [0.1712, 0.8288, 0.5000], [0.5000, 0.5000, 0.5000], [0.8288, 0.1712, 0.5000], [0.0000, 0.0000, 0.0000]],
  "raw_formation_energy_ev_per_atom": -1.11,
  "total_energy_ev_per_atom": -6.249,
  "magnetic_moment_mub_per_fu": 0.0
}



Record 12
{
  "formula": "YCdOs",
  "functional": "PBE-GGA",
  "state": "optimized geometry",
  "lattice": [[-1.7605, 1.7605, 5.0422], [1.7605, -1.7605, 5.0422], [1.7605, 1.7605, -5.0422]],
  "species": ["Y", "Cd", "Os"],
  "fractional_positions": [[0.0000, 0.0000, 0.0000], [0.7010, 0.7010, 0.0000], [0.3466, 0.3466, 0.0000]],
  "total_energy_ev_per_atom": -6.073,
  "magnetic_moment_mub_per_fu": 0.0
}